Record 1
GaGe2OsAu | PBE | optimized geometry

Cell lengths 4.761, 4.761, 4.887 Å; angles 90.00, 90.00, 90.00 degrees
Fractional positions:
Ga: 0.000 0.000 0.000
Ge: 0.000 0.500 0.500
Ge: 0.500 0.000 0.500
Os: 0.000 0.000 0.500
Au: 0.500 0.500 0.000

Calculated total energy = -5.16 eV per atom
Theoretical density = 9.0 g cm⁻³
ΔH_f (0 K) = 0.95 eV per formula unit

Record 2
SrLi3Cd4 | PBE | optimized geometry

Cell lengths 9.742, 9.742, 9.742 Å; angles 28.51, 28.51, 28.51 degrees
Fractional positions:
Sr: 0.000 0.000 0.000
Li: 0.235 0.235 0.235
Li: 0.500 0.500 0.500
Li: 0.765 0.765 0.765
Cd: 0.131 0.131 0.131
Cd: 0.404 0.404 0.404
Cd: 0.596 0.596 0.596
Cd: 0.869 0.869 0.869

Calculated total energy = -1.62 eV per atom
Theoretical density = 5.0 g cm⁻³
ΔH_f (0 K) = -1.88 eV per formula unit

Record 3
Pr2BPd6Pb | PBE | optimized geometry

Cell lengths 5.900, 8.830, 7.658 Å; angles 90.00, 90.00, 90.00 degrees
Fractional positions:
Pr: 0.250 0.027 0.226
Pr: 0.250 0.473 0.226
Pr: 0.750 0.527 0.774
Pr: 0.750 0.973 0.774
B: 0.250 0.250 0.668
B: 0.750 0.750 0.332
Pd: 0.014 0.250 0.871
Pd: 0.014 0.750 0.513
Pd: 0.250 0.012 0.639
Pd: 0.250 0.488 0.639
Pd: 0.486 0.250 0.871
Pd: 0.486 0.750 0.513
Pd: 0.514 0.250 0.487
Pd: 0.514 0.750 0.129
Pd: 0.750 0.512 0.361
Pd: 0.750 0.988 0.361
Pd: 0.986 0.250 0.487
Pd: 0.986 0.750 0.129
Pb: 0.250 0.750 0.840
Pb: 0.750 0.250 0.160

Calculated total energy = -5.70 eV per atom
Theoretical density = 9.5 g cm⁻³
ΔH_f (0 K) = -5.91 eV per formula unit

Question: Which value of ΔH_f (0 K) does entry 3 give?
Answer: -5.91 eV per formula unit

Question: calculated total energy of number 2 (SrLi3Cd4)?
Answer: -1.62 eV per atom